1.
VASP calculation (GGA-PBE) on a relaxed structure of NpCoOs.

Properties
As for the space group: R-3m. Its energy above the most stable polymorph in this dataset is 389 meV/atom. The volume comes out at 16.2 Å³/atom. As for the energy of formation from the pure elements: 1.07 eV/f.u. The value obtained for the total energy is -60.41 eV per cell.

a = 8.3641 Å, b = 8.3641 Å, c = 8.3641 Å
α = 25.78°, β = 25.78°, γ = 25.78°
Atoms (fractional coordinates):
1 Np 0.1388 0.1388 0.1388
2 Np 0.8612 0.8612 0.8612
3 Co 0.2565 0.2565 0.2565
4 Co 0.7435 0.7435 0.7435
5 Os 0.3596 0.3596 0.3596
6 Os 0.6404 0.6404 0.6404



2.
VASP calculation (GGA-PBE) on a relaxed structure of Np2Co3Os.

Properties
As for the space group: R-3m. The volume comes out at 15.0 Å³/atom. As for the energy of formation from the pure elements: -0.33 eV/f.u. The value obtained for the total energy is -58.76 eV per cell.

a = 5.1143 Å, b = 5.1143 Å, c = 5.1143 Å
α = 57.99°, β = 57.99°, γ = 57.99°
Atoms (fractional coordinates):
1 Np 0.1237 0.1237 0.1237
2 Np 0.8763 0.8763 0.8763
3 Co 0.0000 0.5000 0.5000
4 Co 0.5000 0.0000 0.5000
5 Co 0.5000 0.5000 0.0000
6 Os 0.5000 0.5000 0.5000



3.
VASP calculation (GGA-PBE) on a relaxed structure of NpCoOs2.

Properties
As for the space group: P4/mmm. The volume comes out at 15.2 Å³/atom. As for the energy of formation from the pure elements: 0.13 eV/f.u. The value obtained for the total energy is -42.37 eV per cell.

a = 3.9545 Å, b = 3.9545 Å, c = 3.8755 Å
α = 90.00°, β = 90.00°, γ = 90.00°
Atoms (fractional coordinates):
1 Np 0.0000 0.0000 0.0000
2 Co 0.5000 0.5000 0.0000
3 Os 0.0000 0.5000 0.5000
4 Os 0.5000 0.0000 0.5000



4.
VASP calculation (GGA-PBE) on a relaxed structure of NpCo4Os.

Properties
As for the space group: F-43m. The volume comes out at 13.4 Å³/atom. As for the energy of formation from the pure elements: 0.39 eV/f.u. The value obtained for the total energy is -52.20 eV per cell.

a = 4.8392 Å, b = 4.8392 Å, c = 4.8392 Å
α = 60.00°, β = 60.00°, γ = 60.00°
Atoms (fractional coordinates):
1 Np 0.0000 0.0000 0.0000
2 Co 0.3761 0.3761 0.3761
3 Co 0.3761 0.3761 0.8717
4 Co 0.3761 0.8717 0.3761
5 Co 0.8717 0.3761 0.3761
6 Os 0.7500 0.7500 0.7500



5.
VASP calculation (GGA-PBE) on a relaxed structure of NpCoOs.

Properties
As for the space group: Imma. Its energy above the most stable polymorph in this dataset is 0 meV/atom. The volume comes out at 16.0 Å³/atom. As for the energy of formation from the pure elements: -0.10 eV/f.u. The value obtained for the total energy is -62.75 eV per cell.

a = 5.1640 Å, b = 5.1640 Å, c = 5.1640 Å
α = 124.37°, β = 116.99°, γ = 88.95°
Atoms (fractional coordinates):
1 Np 0.3807 0.1307 0.2500
2 Np 0.6193 0.8693 0.7500
3 Co 0.0000 0.0000 0.5000
4 Co 0.0000 0.5000 0.0000
5 Os 0.0000 0.5000 0.5000
6 Os 0.5000 0.5000 0.0000



6.
VASP calculation (GGA-PBE) on a relaxed structure of PuNpCoOs.

Properties
As for the space group: F-43m. The volume comes out at 15.7 Å³/atom. As for the energy of formation from the pure elements: -0.05 eV/f.u. The value obtained for the total energy is -45.66 eV per cell.

a = 4.4613 Å, b = 4.4613 Å, c = 4.4613 Å
α = 60.00°, β = 60.00°, γ = 60.00°
Atoms (fractional coordinates):
1 Pu 0.0000 0.0000 0.0000
2 Np 0.2500 0.2500 0.2500
3 Co 0.7500 0.7500 0.7500
4 Os 0.5000 0.5000 0.5000



7.
VASP calculation (GGA-PBE) on a relaxed structure of NpCoSi2Os.

Properties
As for the space group: I-4m2. The volume comes out at 15.8 Å³/atom. As for the formation energy from raw total energies: -0.467 eV/atom. The value obtained for the total energy is -44.46 eV per cell.

a = 5.6807 Å, b = 5.6807 Å, c = 5.6807 Å
α = 138.78°, β = 138.78°, γ = 59.71°
Atoms (fractional coordinates):
1 Np 0.0000 0.0000 0.0000
2 Co 0.7500 0.2500 0.5000
3 Si 0.3757 0.3757 0.0000
4 Si 0.6243 0.6243 0.0000
5 Os 0.2500 0.7500 0.5000



8.
VASP calculation (GGA-PBE) on a relaxed structure of NpUCoOs.

Properties
As for the space group: F-43m. The volume comes out at 16.3 Å³/atom. As for the energy of formation from the pure elements: -0.61 eV/f.u. The value obtained for the total energy is -43.17 eV per cell.

a = 4.5147 Å, b = 4.5147 Å, c = 4.5147 Å
α = 60.00°, β = 60.00°, γ = 60.00°
Atoms (fractional coordinates):
1 Np 0.0000 0.0000 0.0000
2 U 0.2500 0.2500 0.2500
3 Co 0.7500 0.7500 0.7500
4 Os 0.5000 0.5000 0.5000



9.
VASP calculation (GGA-PBE) on a relaxed structure of NpZnCoOs.

Properties
As for the space group: F-43m. The volume comes out at 15.9 Å³/atom. As for the energy of formation from the pure elements: 0.47 eV/f.u. The value obtained for the total energy is -32.08 eV per cell.

a = 4.4846 Å, b = 4.4846 Å, c = 4.4846 Å
α = 60.00°, β = 60.00°, γ = 60.00°
Atoms (fractional coordinates):
1 Np 0.0000 0.0000 0.0000
2 Zn 0.5000 0.5000 0.5000
3 Co 0.2500 0.2500 0.2500
4 Os 0.7500 0.7500 0.7500



10.
VASP calculation (GGA-PBE) on a relaxed structure of NpCo4P2.

Properties
As for the space group: P4_2/mnm. The volume comes out at 12.6 Å³/atom. As for the energy of formation from the pure elements: -3.95 eV/f.u. The value obtained for the total energy is -112.26 eV per cell.

a = 7.0373 Å, b = 7.0373 Å, c = 3.5575 Å
α = 90.00°, β = 90.00°, γ = 90.00°
Atoms (fractional coordinates):
1 Np 0.0000 0.0000 0.0000
2 Np 0.5000 0.5000 0.5000
3 Co 0.0843 0.3410 0.5000
4 Co 0.1590 0.5843 0.0000
5 Co 0.3410 0.0843 0.5000
6 Co 0.4157 0.8410 0.0000
7 Co 0.5843 0.1590 0.0000
8 Co 0.6590 0.9157 0.5000
9 Co 0.8410 0.4157 0.0000
10 Co 0.9157 0.6590 0.5000
11 P 0.2219 0.7781 0.5000
12 P 0.2781 0.2781 0.0000
13 P 0.7219 0.7219 0.0000
14 P 0.7781 0.2219 0.5000



11.
VASP calculation (GGA-PBE) on a relaxed structure of NpCo5P2.

Properties
As for the space group: Immm. The volume comes out at 12.5 Å³/atom. As for the energy of formation from the pure elements: -4.09 eV/f.u. The value obtained for the total energy is -63.38 eV per cell.

a = 5.6964 Å, b = 5.6964 Å, c = 5.6964 Å
α = 143.32°, β = 112.04°, γ = 79.78°
Atoms (fractional coordinates):
1 Np 0.0000 0.0000 0.0000
2 Co 0.1611 0.3536 0.8075
3 Co 0.4540 0.6464 0.8075
4 Co 0.5000 0.0000 0.5000
5 Co 0.5460 0.3536 0.1925
6 Co 0.8389 0.6464 0.1925
7 P 0.2547 0.7547 0.5000
8 P 0.7453 0.2453 0.5000



12.
VASP calculation (GGA-PBE) on a relaxed structure of Np2Co2P3.

Properties
As for the space group: C2/m. Its energy above the most stable polymorph in this dataset is 85 meV/atom. The volume comes out at 17.7 Å³/atom. As for the energy of formation from the pure elements: -4.00 eV/f.u. The value obtained for the total energy is -60.32 eV per cell.

a = 5.6765 Å, b = 5.6765 Å, c = 6.2824 Å
α = 103.50°, β = 103.50°, γ = 39.12°
Atoms (fractional coordinates):
1 Np 0.0981 0.0981 0.3026
2 Np 0.9019 0.9019 0.6974
3 Co 0.3229 0.3229 0.0956
4 Co 0.6771 0.6771 0.9044
5 P 0.2005 0.2005 0.7457
6 P 0.5000 0.5000 0.0000
7 P 0.7995 0.7995 0.2543



13.
VASP calculation (GGA-PBE) on a relaxed structure of NpCoP2.

Properties
As for the space group: I4/mmm. Its energy above the most stable polymorph in this dataset is 0 meV/atom. The volume comes out at 15.7 Å³/atom. As for the energy of formation from the pure elements: -2.94 eV/f.u. The value obtained for the total energy is -67.61 eV per cell.

a = 9.6129 Å, b = 9.6129 Å, c = 9.6129 Å
α = 157.93°, β = 157.93°, γ = 31.41°
Atoms (fractional coordinates):
1 Np 0.1128 0.1128 0.0000
2 Np 0.8872 0.8872 0.0000
3 Co 0.2500 0.7500 0.5000
4 Co 0.7500 0.2500 0.5000
5 P 0.0000 0.5000 0.5000
6 P 0.3194 0.3194 0.0000
7 P 0.5000 0.0000 0.5000
8 P 0.6806 0.6806 0.0000



14.
VASP calculation (GGA-PBE) on a relaxed structure of NpCoP2.

Properties
As for the space group: R-3m. Its energy above the most stable polymorph in this dataset is 88 meV/atom. The volume comes out at 15.6 Å³/atom. As for the energy of formation from the pure elements: -2.59 eV/f.u. The value obtained for the total energy is -33.45 eV per cell.

a = 5.6228 Å, b = 5.6228 Å, c = 5.6228 Å
α = 38.62°, β = 38.62°, γ = 38.62°
Atoms (fractional coordinates):
1 Np 0.0000 0.0000 0.0000
2 Co 0.5000 0.5000 0.5000
3 P 0.2254 0.2254 0.2254
4 P 0.7746 0.7746 0.7746



15.
VASP calculation (GGA-PBE) on a relaxed structure of Np2Co2P3.

Properties
As for the space group: Cmcm. Its energy above the most stable polymorph in this dataset is 0 meV/atom. The volume comes out at 15.3 Å³/atom. As for the energy of formation from the pure elements: -4.60 eV/f.u. The value obtained for the total energy is -121.84 eV per cell.

a = 8.5005 Å, b = 8.5005 Å, c = 6.6267 Å
α = 90.00°, β = 90.00°, γ = 153.42°
Atoms (fractional coordinates):
1 Np 0.0495 0.9505 0.7500
2 Np 0.1482 0.8518 0.2500
3 Np 0.8518 0.1482 0.7500
4 Np 0.9505 0.0495 0.2500
5 Co 0.2990 0.7010 0.0539
6 Co 0.2990 0.7010 0.4461
7 Co 0.7010 0.2990 0.5539
8 Co 0.7010 0.2990 0.9461
9 P 0.2207 0.7793 0.7500
10 P 0.4317 0.5683 0.5365
11 P 0.4317 0.5683 0.9635
12 P 0.5683 0.4317 0.0365
13 P 0.5683 0.4317 0.4635
14 P 0.7793 0.2207 0.2500



16.
VASP calculation (GGA-PBE) on a relaxed structure of NpCoP3.

Properties
As for the space group: Pbcm. The volume comes out at 15.4 Å³/atom. As for the energy of formation from the pure elements: -2.97 eV/f.u. The value obtained for the total energy is -156.98 eV per cell.

a = 11.3856 Å, b = 5.2330 Å, c = 5.1708 Å
α = 90.00°, β = 90.00°, γ = 90.00°
Atoms (fractional coordinates):
1 Np 0.1937 0.0067 0.2500
2 Np 0.1937 0.4933 0.7500
3 Np 0.8063 0.5067 0.2500
4 Np 0.8063 0.9933 0.7500
5 Co 0.4183 0.7500 0.0000
6 Co 0.4183 0.7500 0.5000
7 Co 0.5817 0.2500 0.0000
8 Co 0.5817 0.2500 0.5000
9 P 0.0020 0.7500 0.0000
10 P 0.0020 0.7500 0.5000
11 P 0.2850 0.5013 0.2500
12 P 0.2850 0.9987 0.7500
13 P 0.4348 0.1086 0.2500
14 P 0.4348 0.3914 0.7500
15 P 0.5652 0.6086 0.2500
16 P 0.5652 0.8914 0.7500
17 P 0.7150 0.0013 0.2500
18 P 0.7150 0.4987 0.7500
19 P 0.9980 0.2500 0.0000
20 P 0.9980 0.2500 0.5000



17.
VASP calculation (GGA-PBE) on a relaxed structure of Np3CoP3.

Properties
As for the space group: Pnma. The volume comes out at 18.6 Å³/atom. As for the energy of formation from the pure elements: -4.49 eV/f.u. The value obtained for the total energy is -266.59 eV per cell.

a = 10.8467 Å, b = 3.9988 Å, c = 12.0117 Å
α = 90.00°, β = 90.00°, γ = 90.00°
Atoms (fractional coordinates):
1 Np 0.0729 0.2500 0.1236
2 Np 0.1372 0.7500 0.4723
3 Np 0.2485 0.7500 0.7586
4 Np 0.2515 0.2500 0.2586
5 Np 0.3628 0.2500 0.9723
6 Np 0.4271 0.7500 0.6236
7 Np 0.5729 0.2500 0.3764
8 Np 0.6372 0.7500 0.0277
9 Np 0.7485 0.7500 0.7414
10 Np 0.7515 0.2500 0.2414
11 Np 0.8628 0.2500 0.5277
12 Np 0.9271 0.7500 0.8764
13 Co 0.0673 0.2500 0.6936
14 Co 0.4327 0.7500 0.1936
15 Co 0.5673 0.2500 0.8064
16 Co 0.9327 0.7500 0.3064
17 P 0.0151 0.2500 0.3453
18 P 0.1123 0.2500 0.8810
19 P 0.2471 0.2500 0.5986
20 P 0.2529 0.7500 0.0986
21 P 0.3877 0.7500 0.3810
22 P 0.4849 0.7500 0.8453
23 P 0.5151 0.2500 0.1547
24 P 0.6123 0.2500 0.6190
25 P 0.7471 0.2500 0.9014
26 P 0.7529 0.7500 0.4014
27 P 0.8877 0.7500 0.1190
28 P 0.9849 0.7500 0.6547



18.
VASP calculation (GGA-PBE) on a relaxed structure of NpCo3P2.

Properties
As for the space group: Immm. The volume comes out at 13.6 Å³/atom. As for the energy of formation from the pure elements: -2.73 eV/f.u. The value obtained for the total energy is -95.61 eV per cell.

a = 7.1264 Å, b = 7.1264 Å, c = 7.1264 Å
α = 150.73°, β = 110.16°, γ = 77.47°
Atoms (fractional coordinates):
1 Np 0.1134 0.1134 0.0000
2 Np 0.8866 0.8866 0.0000
3 Co 0.1614 0.3264 0.8350
4 Co 0.3505 0.0000 0.3505
5 Co 0.4913 0.3264 0.1650
6 Co 0.5087 0.6736 0.8350
7 Co 0.6495 0.0000 0.6495
8 Co 0.8386 0.6736 0.1650
9 P 0.2048 0.5000 0.7048
10 P 0.3290 0.8290 0.5000
11 P 0.6710 0.1710 0.5000
12 P 0.7952 0.5000 0.2952



19.
VASP calculation (GGA-PBE) on a relaxed structure of Np2Co5P4.

Properties
As for the space group: Fmmm. The volume comes out at 14.0 Å³/atom. As for the energy of formation from the pure elements: -6.00 eV/f.u. The value obtained for the total energy is -89.05 eV per cell.

a = 7.9884 Å, b = 6.9713 Å, c = 5.3170 Å
α = 79.86°, β = 59.21°, γ = 40.93°
Atoms (fractional coordinates):
1 Np 0.1367 0.1367 0.8633
2 Np 0.8633 0.8633 0.1367
3 Co 0.0000 0.0000 0.5000
4 Co 0.2500 0.2500 0.2500
5 Co 0.5000 0.5000 0.0000
6 Co 0.5000 0.5000 0.5000
7 Co 0.7500 0.7500 0.7500
8 P 0.2147 0.5270 0.4730
9 P 0.4730 0.7853 0.2147
10 P 0.5270 0.2147 0.7853
11 P 0.7853 0.4730 0.5270



20.
VASP calculation (GGA-PBE) on a relaxed structure of Np2Co12P7.

Properties
As for the space group: P-6. The volume comes out at 12.1 Å³/atom. As for the energy of formation from the pure elements: -13.88 eV/f.u. The value obtained for the total energy is -162.90 eV per cell.

a = 9.0317 Å, b = 9.0317 Å, c = 3.5825 Å
α = 90.00°, β = 90.00°, γ = 120.00°
Atoms (fractional coordinates):
1 Np 0.0000 0.0000 0.0000
2 Np 0.3333 0.6667 0.5000
3 Co 0.0500 0.2811 0.5000
4 Co 0.1020 0.7094 0.0000
5 Co 0.2311 0.9500 0.5000
6 Co 0.2906 0.3927 0.0000
7 Co 0.3946 0.1805 0.0000
8 Co 0.5332 0.4380 0.5000
9 Co 0.5621 0.0953 0.5000
10 Co 0.6073 0.8980 0.0000
11 Co 0.7189 0.7689 0.5000
12 Co 0.7859 0.6054 0.0000
13 Co 0.8195 0.2141 0.0000
14 Co 0.9047 0.4668 0.5000
15 P 0.0716 0.4459 0.0000
16 P 0.2644 0.2219 0.5000
17 P 0.3743 0.9284 0.0000
18 P 0.5541 0.6257 0.0000
19 P 0.6667 0.3333 0.0000
20 P 0.7781 0.0424 0.5000
21 P 0.9576 0.7356 0.5000